The following is a DFT calculation (PBE-GGA) of a relaxed structure of LiCe12Ir6.

Lattice parameters (Å, degrees): 8.5174 8.5174 8.5174 106.12 106.12 106.12
Closest atoms and distances in Å follow each position.
Positions (direct):
Li 0.0000 0.0000 0.0000  6 Ce 4.04
Ce 0.1239 0.5000 0.8761  4 Ir 2.89-2.95
Ce 0.1239 0.8761 0.5000  4 Ir 2.89-2.95
Ce 0.1659 0.4385 0.4385  3 Ir 2.78-2.99
Ce 0.4385 0.1659 0.4385  3 Ir 2.78-2.99
Ce 0.4385 0.4385 0.1659  3 Ir 2.78-2.99
Ce 0.5000 0.1239 0.8761  4 Ir 2.89-2.95
Ce 0.5000 0.8761 0.1239  4 Ir 2.89-2.95
Ce 0.5615 0.5615 0.8341  3 Ir 2.78-2.99
Ce 0.5615 0.8341 0.5615  3 Ir 2.78-2.99
Ce 0.8341 0.5615 0.5615  3 Ir 2.78-2.99
Ce 0.8761 0.1239 0.5000  4 Ir 2.89-2.95
Ce 0.8761 0.5000 0.1239  4 Ir 2.89-2.95
Ir 0.2557 0.2557 0.6828  7 Ce 2.78-2.99
Ir 0.2557 0.6828 0.2557  7 Ce 2.78-2.99
Ir 0.3172 0.7443 0.7443  7 Ce 2.78-2.99
Ir 0.6828 0.2557 0.2557  7 Ce 2.78-2.99
Ir 0.7443 0.3172 0.7443  7 Ce 2.78-2.99
Ir 0.7443 0.7443 0.3172  7 Ce 2.78-2.99

Properties
Its crystal system is trigonal. The value obtained for the total energy is -0.2572 Ha/atom. The volume is 526.5 Å³ per cell.